Here is crystalline CrCuBSe2 at its relaxed geometry from Alexandria via LeMat-Bulk. Energies are from PBE-GGA. Values from VASP.

## Properties
Calculated total energy (eV per cell): -23.6
Raw formation energy (eV/atom): 0.75
Density of states at the Fermi level (states/eV/f.u.): 3.994
Calculated density (g/cm³): 5.3

Quantum ESPRESSO input file:
```
&SYSTEM
  ibrav = 0, nat = 5, ntyp = 4
/
ATOMIC_SPECIES
Cr 52.00 Cr.upf
Cu 63.55 Cu.upf
B 10.81 B.upf
Se 78.96 Se.upf
CELL_PARAMETERS angstrom
4.763 0.000 0.000
0.000 4.763 0.000
0.000 0.000 3.924
ATOMIC_POSITIONS crystal
Cr 0.000 0.000 0.000
Cu 0.500 0.500 0.500
B 0.000 0.000 0.500
Se 0.000 0.500 0.000
Se 0.500 0.000 0.000
```